Record 1
This record from the Open Quantum Materials Database describes crystalline HfZnPbSe3 at its relaxed geometry. The functional is PBE-GGA. Values from VASP.

The structure in Quantum ESPRESSO input format:
```
&SYSTEM
  ibrav = 0, nat = 12, ntyp = 4
/
ATOMIC_SPECIES
Hf 178.49 Hf.upf
Pb 207.20 Pb.upf
Se 78.96 Se.upf
Zn 65.41 Zn.upf
CELL_PARAMETERS angstrom
1.8386 -7.7618 0.0000
1.8386 7.7618 0.0000
0.0000 0.0000 10.1956
ATOMIC_POSITIONS crystal
Hf 0.5000 0.5000 0.0000
Hf 0.5000 0.5000 0.5000
Pb 0.2360 0.7640 0.2500
Pb 0.7640 0.2360 0.7500
Se 0.8729 0.1271 0.0384
Se 0.5636 0.4364 0.2500
Se 0.8729 0.1271 0.4616
Se 0.1271 0.8729 0.5384
Se 0.4364 0.5636 0.7500
Se 0.1271 0.8729 0.9616
Zn 0.9501 0.0499 0.2500
Zn 0.0499 0.9501 0.7500
```

Summary:
Space-group type: Cmcm (63)
E_tot, eV per cell: -58.38
Magnetic moment, μB per atom: 0.02



Record 2
This record from the Open Quantum Materials Database describes crystalline Er3Zr3Te2Pd at its relaxed geometry. The functional is PBE-GGA. Values from VASP.

The structure in Quantum ESPRESSO input format:
```
&SYSTEM
  ibrav = 0, nat = 9, ntyp = 4
/
ATOMIC_SPECIES
Er 167.26 Er.upf
Pd 106.42 Pd.upf
Te 127.60 Te.upf
Zr 91.22 Zr.upf
CELL_PARAMETERS angstrom
-2.9269 -7.1658 -2.1735
7.4748 0.5763 2.9042
-1.3542 -0.5363 3.5918
ATOMIC_POSITIONS crystal
Er 0.5996 0.0000 0.0000
Er 0.4004 0.4004 0.0000
Er 0.0000 0.5996 0.0000
Pd 0.0000 0.0000 0.0000
Te 0.6667 0.3333 0.5000
Te 0.3333 0.6667 0.5000
Zr 0.2438 0.0000 0.5000
Zr 0.0000 0.2438 0.5000
Zr 0.7562 0.7562 0.5000
```

Summary:
Space-group type: P-62m (189)
E_tot, eV per cell: -57.06
Magnetic moment, μB per atom: 0.00
Relative energy among the computed polymorphs, eV per atom: 0.000



Record 3
This record from the Open Quantum Materials Database describes crystalline Zr2Ta at its relaxed geometry. The functional is PBE-GGA. Values from VASP.

The structure in Quantum ESPRESSO input format:
```
&SYSTEM
  ibrav = 0, nat = 12, ntyp = 2
/
ATOMIC_SPECIES
Ta 180.95 Ta.upf
Zr 91.22 Zr.upf
CELL_PARAMETERS angstrom
-0.8952 -3.8681 -3.9512
6.4758 3.7345 -5.1231
3.4504 -3.0113 2.1663
ATOMIC_POSITIONS crystal
Ta 0.0383 0.0000 0.0000
Ta 0.5382 0.5000 0.0000
Ta 0.2951 0.0000 0.5000
Ta 0.7951 0.5000 0.5000
Zr 0.5221 0.1617 0.0000
Zr 0.0221 0.3383 0.0000
Zr 0.0221 0.6617 0.0000
Zr 0.5221 0.8383 0.0000
Zr 0.8112 0.1617 0.5000
Zr 0.3112 0.3383 0.5000
Zr 0.3112 0.6617 0.5000
Zr 0.8112 0.8383 0.5000
```

Summary:
Space-group type: Cmcm (63)
E_tot, eV per cell: -113.98
Magnetic moment, μB per atom: 0.00
Energy of formation, meV/atom: 151



Record 4
This record from the Open Quantum Materials Database describes crystalline GaIr7 at its relaxed geometry. The functional is PBE-GGA. Values from VASP.

The structure in Quantum ESPRESSO input format:
```
&SYSTEM
  ibrav = 0, nat = 16, ntyp = 2
/
ATOMIC_SPECIES
Ga 69.72 Ga.upf
Ir 192.22 Ir.upf
CELL_PARAMETERS angstrom
2.7369 0.0000 0.0000
0.0000 3.8634 0.0000
0.0000 0.0000 35.1650
ATOMIC_POSITIONS crystal
Ga 0.5000 0.5000 0.2881
Ga 0.0000 0.0000 0.7119
Ir 0.0000 0.0000 0.0193
Ir 0.5000 0.5000 0.0585
Ir 0.0000 0.0000 0.0975
Ir 0.5000 0.5000 0.1356
Ir 0.0000 0.0000 0.1759
Ir 0.5000 0.5000 0.2138
Ir 0.0000 0.0000 0.2552
Ir 0.5000 0.5000 0.7448
Ir 0.0000 0.0000 0.7862
Ir 0.5000 0.5000 0.8241
Ir 0.0000 0.0000 0.8644
Ir 0.5000 0.5000 0.9025
Ir 0.0000 0.0000 0.9415
Ir 0.5000 0.5000 0.9807
```

Summary:
Space-group type: Pmmn (59)
E_tot, eV per cell: -129.56
Magnetic moment, μB per atom: 0.00



Record 5
This record from the Open Quantum Materials Database describes crystalline PrGd at its relaxed geometry. The functional is PBE-GGA. Values from VASP.

The structure in Quantum ESPRESSO input format:
```
&SYSTEM
  ibrav = 0, nat = 2, ntyp = 2
/
ATOMIC_SPECIES
Gd 157.25 Gd.upf
Pr 140.91 Pr.upf
CELL_PARAMETERS angstrom
0.0000 3.2697 3.2697
3.2697 0.0000 3.2697
3.2697 3.2697 0.0000
ATOMIC_POSITIONS crystal
Gd 0.0000 0.0000 0.0000
Pr 0.5000 0.5000 0.5000
```

Summary:
Space-group type: Fm-3m (225)
E_tot, eV per cell: -8.13
Magnetic moment, μB per atom: 0.17
Relative energy among the computed polymorphs, eV per atom: 0.616
Energy of formation, meV/atom: 647



Record 6
This record from the Open Quantum Materials Database describes crystalline LiLuCuPb at its relaxed geometry. The functional is PBE-GGA. Values from VASP.

The structure in Quantum ESPRESSO input format:
```
&SYSTEM
  ibrav = 0, nat = 4, ntyp = 4
/
ATOMIC_SPECIES
Cu 63.55 Cu.upf
Li 6.94 Li.upf
Lu 174.97 Lu.upf
Pb 207.20 Pb.upf
CELL_PARAMETERS angstrom
-1.3517 2.4247 3.9861
-4.6990 0.2733 1.2000
-1.6636 -2.4214 3.8684
ATOMIC_POSITIONS crystal
Cu 0.7500 0.7500 0.7500
Li 0.5000 0.5000 0.5000
Lu 0.2500 0.2500 0.2500
Pb 0.0000 0.0000 0.0000
```

Summary:
Space-group type: F-43m (216)
E_tot, eV per cell: -13.95
Magnetic moment, μB per atom: 0.01
Relative energy among the computed polymorphs, eV per atom: 0.164